This record from the Alexandria database describes crystalline K2MnIrO4 at its relaxed geometry. The functional is PBE+U.

```
K2MnIrO4
1.0
3.204 0.000 0.000
0.000 5.542 0.088
0.000 -1.943 5.769
Ir K O Mn
1 2 4 1
direct
0.000 0.000 0.000
0.500 0.000 0.500
0.000 0.500 0.500
0.500 0.229 0.167
0.500 0.771 0.833
0.000 0.285 0.833
0.000 0.715 0.167
0.500 0.500 0.000
```

As for the total magnetic moment: 1.99 Bohr magnetons per cell. As for the electronic total energy: -5.858 eV per atom. The volume is 12.87 Å³ per atom.